This record from Alexandria describes a geometry-optimized MnTlInBr4 structure. The functional is PBE.

Calculated values
Raw formation energy: -0.772 eV/atom

CIF file:
```
data_MnTlInBr4
_cell_length_a 7.5530
_cell_length_b 7.6432
_cell_length_c 9.1703
_cell_angle_alpha 90.00
_cell_angle_beta 108.30
_cell_angle_gamma 90.00
_symmetry_space_group_name_H-M 'P 1'
_symmetry_Int_Tables_number 1
loop_
_symmetry_equiv_pos_as_xyz
'x,y,z'
loop_
_atom_site_label
_atom_site_fract_x
_atom_site_fract_y
_atom_site_fract_z
_atom_site_occupancy
Mn1 0.2304 0.2500 0.2979 1
Mn2 0.7696 0.7500 0.7021 1
Tl1 0.2198 0.7500 0.5525 1
Tl2 0.7802 0.2500 0.4475 1
In1 0.2540 0.7500 0.0638 1
In2 0.7460 0.2500 0.9362 1
Br1 0.0058 0.5020 0.2327 1
Br2 0.0058 0.9980 0.2327 1
Br3 0.4127 0.2500 0.5757 1
Br4 0.4286 0.2500 0.1272 1
Br5 0.5714 0.7500 0.8728 1
Br6 0.5873 0.7500 0.4243 1
Br7 0.9942 0.0020 0.7673 1
Br8 0.9942 0.4980 0.7673 1
```

This record from Alexandria describes a geometry-optimized MgCdFe structure. The functional is PBE.

Calculated values
Energy above the lowest structure with this stoichiometry: 0.316 eV per atom

CIF file:
```
data_MgCdFe
_cell_length_a 4.4675
_cell_length_b 4.4675
_cell_length_c 4.4675
_cell_angle_alpha 60.00
_cell_angle_beta 60.00
_cell_angle_gamma 60.00
_symmetry_space_group_name_H-M 'P 1'
_symmetry_Int_Tables_number 1
loop_
_symmetry_equiv_pos_as_xyz
'x,y,z'
loop_
_atom_site_label
_atom_site_fract_x
_atom_site_fract_y
_atom_site_fract_z
_atom_site_occupancy
Mg1 0.0000 0.0000 0.0000 1
Cd1 0.5000 0.5000 0.5000 1
Fe1 0.2500 0.2500 0.2500 1
```

This record from Alexandria describes a geometry-optimized CaPRh structure. The functional is PBE.

Calculated values
E: -4.647 eV per atom

CIF file:
```
data_CaPRh
_cell_length_a 4.4966
_cell_length_b 4.4966
_cell_length_c 4.4966
_cell_angle_alpha 60.00
_cell_angle_beta 60.00
_cell_angle_gamma 60.00
_symmetry_space_group_name_H-M 'P 1'
_symmetry_Int_Tables_number 1
loop_
_symmetry_equiv_pos_as_xyz
'x,y,z'
loop_
_atom_site_label
_atom_site_fract_x
_atom_site_fract_y
_atom_site_fract_z
_atom_site_occupancy
Ca1 0.0000 0.0000 0.0000 1
P1 0.2500 0.2500 0.2500 1
Rh1 0.7500 0.7500 0.7500 1
```

This record from Alexandria describes a geometry-optimized Ba2Sr2Cl7 structure. The functional is PBE.

Calculated values
Raw formation energy: -2.341 eV/atom
Energy above the lowest structure with this stoichiometry: 0.016 eV per atom

CIF file:
```
data_Ba2Sr2Cl7
_cell_length_a 7.1800
_cell_length_b 7.1800
_cell_length_c 7.3398
_cell_angle_alpha 90.00
_cell_angle_beta 90.00
_cell_angle_gamma 94.83
_symmetry_space_group_name_H-M 'P 1'
_symmetry_Int_Tables_number 1
loop_
_symmetry_equiv_pos_as_xyz
'x,y,z'
loop_
_atom_site_label
_atom_site_fract_x
_atom_site_fract_y
_atom_site_fract_z
_atom_site_occupancy
Ba1 0.2408 0.2408 0.0000 1
Ba2 0.7592 0.7592 0.0000 1
Sr1 0.2708 0.7292 0.5000 1
Sr2 0.7292 0.2708 0.5000 1
Cl1 0.0000 0.0000 0.5000 1
Cl2 0.0000 0.5000 0.2525 1
Cl3 0.0000 0.5000 0.7475 1
Cl4 0.5000 0.0000 0.2525 1
Cl5 0.5000 0.0000 0.7475 1
Cl6 0.5000 0.5000 0.2614 1
Cl7 0.5000 0.5000 0.7386 1
```

Calculated DOS at the Fermi energy (states/eV per atom), listed in the same order as above: 0.000; 1.046; 0.962; 0.088